Entry 1:
A plane-wave DFT calculation with SCAN was carried out for a PBEsol-optimized structure of CrCoPb2.

The structure in CIF format:
```
data_CrCoPb2
_cell_length_a 3.112
_cell_length_b 3.112
_cell_length_c 8.108
_cell_angle_alpha 90.00
_cell_angle_beta 90.00
_cell_angle_gamma 90.00
_symmetry_space_group_name_H-M 'P 4 m m'
_symmetry_Int_Tables_number 99
_symmetry_space_group_name_Hall 'P 4 -2'
loop_
_atom_site_label
_atom_site_fract_x
_atom_site_fract_y
_atom_site_fract_z
_atom_site_occupancy
Cr1 0.000 0.000 0.000 1
Co1 0.500 0.500 0.872 1
Pb1 0.000 0.000 0.638 1
Pb2 0.500 0.500 0.243 1
```

Values from the calculation:
Energy of formation ... 1.47 eV/f.u.
Total magnetic moment ... 3.8 μB per cell

***

Entry 2:
A plane-wave DFT calculation with SCAN was carried out for a PBEsol-optimized structure of CrCo3Pd.

The structure in CIF format:
```
data_CrCo3Pd
_cell_length_a 4.445
_cell_length_b 4.445
_cell_length_c 4.445
_cell_angle_alpha 90.00
_cell_angle_beta 90.00
_cell_angle_gamma 90.00
_symmetry_space_group_name_H-M 'P m -3 m'
_symmetry_Int_Tables_number 221
_symmetry_space_group_name_Hall '-P 4 2 3'
loop_
_atom_site_label
_atom_site_fract_x
_atom_site_fract_y
_atom_site_fract_z
_atom_site_occupancy
Cr1 0.000 0.000 0.000 1
Co1 0.000 0.500 0.500 1
Pd1 0.500 0.500 0.500 1
```

Values from the calculation:
Energy of formation ... 6.65 eV/f.u.
Total magnetic moment ... 11.2 μB per cell

***

Entry 3:
A plane-wave DFT calculation with SCAN was carried out for a PBEsol-optimized structure of CrCo2Pd.

The structure in CIF format:
```
data_CrCo2Pd
_cell_length_a 5.694
_cell_length_b 5.694
_cell_length_c 5.694
_cell_angle_alpha 90.00
_cell_angle_beta 90.00
_cell_angle_gamma 90.00
_symmetry_space_group_name_H-M 'F m -3 m'
_symmetry_Int_Tables_number 225
_symmetry_space_group_name_Hall '-F 4 2 3'
loop_
_atom_site_label
_atom_site_fract_x
_atom_site_fract_y
_atom_site_fract_z
_atom_site_occupancy
Cr1 0.000 0.000 0.000 1
Co1 0.250 0.250 0.250 1
Pd1 0.000 0.000 0.500 1
```

Values from the calculation:
Energy of formation ... 0.99 eV/f.u.
Total magnetic moment ... 15.3 μB per cell

***

Entry 4:
A plane-wave DFT calculation with SCAN was carried out for a PBEsol-optimized structure of CrCo2PdRu.

The structure in CIF format:
```
data_CrCo2PdRu
_cell_length_a 4.254
_cell_length_b 4.254
_cell_length_c 4.781
_cell_angle_alpha 90.00
_cell_angle_beta 90.00
_cell_angle_gamma 90.00
_symmetry_space_group_name_H-M 'P 4/m m m'
_symmetry_Int_Tables_number 123
_symmetry_space_group_name_Hall '-P 4 2'
loop_
_atom_site_label
_atom_site_fract_x
_atom_site_fract_y
_atom_site_fract_z
_atom_site_occupancy
Cr1 0.000 0.000 0.000 1
Co1 0.000 0.500 0.500 1
Pd1 0.500 0.500 0.000 1
Ru1 0.500 0.500 0.500 1
```

Values from the calculation:
Energy of formation ... 7.03 eV/f.u.
Total magnetic moment ... 0.3 μB per cell

***

Entry 5:
A plane-wave DFT calculation with SCAN was carried out for a PBEsol-optimized structure of Pr2Cr2Co15.

The structure in CIF format:
```
data_Pr2Cr2Co15
_cell_length_a 9.258
_cell_length_b 8.301
_cell_length_c 6.194
_cell_angle_alpha 90.00
_cell_angle_beta 99.16
_cell_angle_gamma 90.00
_symmetry_space_group_name_H-M 'C 1 2/m 1'
_symmetry_Int_Tables_number 12
_symmetry_space_group_name_Hall '-C 2y'
loop_
_atom_site_label
_atom_site_fract_x
_atom_site_fract_y
_atom_site_fract_z
_atom_site_occupancy
Pr1 0.152 0.000 0.354 1
Cr1 0.250 0.250 0.000 1
Co1 0.000 0.214 0.000 1
Co2 0.000 0.500 0.500 1
Co3 0.096 0.500 0.902 1
Co4 0.101 0.259 0.658 1
Co5 0.141 0.358 0.282 1
Co6 0.157 0.000 0.863 1
```

Values from the calculation:
Energy of formation ... 2.36 eV/f.u.
Total magnetic moment ... 36.6 μB per cell

***

Entry 6:
A plane-wave DFT calculation with SCAN was carried out for a PBEsol-optimized structure of CrCoPt2.

The structure in CIF format:
```
data_CrCoPt2
_cell_length_a 2.650
_cell_length_b 2.650
_cell_length_c 7.381
_cell_angle_alpha 90.00
_cell_angle_beta 90.00
_cell_angle_gamma 90.00
_symmetry_space_group_name_H-M 'P 4/m m m'
_symmetry_Int_Tables_number 123
_symmetry_space_group_name_Hall '-P 4 2'
loop_
_atom_site_label
_atom_site_fract_x
_atom_site_fract_y
_atom_site_fract_z
_atom_site_occupancy
Cr1 0.000 0.000 0.000 1
Co1 0.000 0.000 0.500 1
Pt1 0.500 0.500 0.248 1
```

Values from the calculation:
Energy of formation ... -1.08 eV/f.u.
Total magnetic moment ... 0.5 μB per cell

***

Entry 7:
A plane-wave DFT calculation with SCAN was carried out for a PBEsol-optimized structure of CrCo2Pt.

The structure in CIF format:
```
data_CrCo2Pt
_cell_length_a 8.331
_cell_length_b 2.576
_cell_length_c 4.459
_cell_angle_alpha 90.00
_cell_angle_beta 100.55
_cell_angle_gamma 90.00
_symmetry_space_group_name_H-M 'C 1 2/m 1'
_symmetry_Int_Tables_number 12
_symmetry_space_group_name_Hall '-C 2y'
loop_
_atom_site_label
_atom_site_fract_x
_atom_site_fract_y
_atom_site_fract_z
_atom_site_occupancy
Cr1 0.000 0.000 0.000 1
Co1 0.246 0.500 0.227 1
Pt1 0.000 0.500 0.500 1
```

Values from the calculation:
Energy of formation ... 0.05 eV/f.u.
Total magnetic moment ... 2.4 μB per cell

***

Entry 8:
A plane-wave DFT calculation with SCAN was carried out for a PBEsol-optimized structure of CrCoPt2.

The structure in CIF format:
```
data_CrCoPt2
_cell_length_a 3.784
_cell_length_b 3.784
_cell_length_c 3.678
_cell_angle_alpha 90.00
_cell_angle_beta 90.00
_cell_angle_gamma 90.00
_symmetry_space_group_name_H-M 'P 4/m m m'
_symmetry_Int_Tables_number 123
_symmetry_space_group_name_Hall '-P 4 2'
loop_
_atom_site_label
_atom_site_fract_x
_atom_site_fract_y
_atom_site_fract_z
_atom_site_occupancy
Cr1 0.000 0.000 0.000 1
Co1 0.500 0.500 0.000 1
Pt1 0.000 0.500 0.500 1
```

Values from the calculation:
Energy of formation ... -1.31 eV/f.u.
Total magnetic moment ... 4.7 μB per cell

***

Entry 9:
A plane-wave DFT calculation with SCAN was carried out for a PBEsol-optimized structure of CrCoPt2.

The structure in CIF format:
```
data_CrCoPt2
_cell_length_a 2.654
_cell_length_b 3.686
_cell_length_c 5.321
_cell_angle_alpha 90.00
_cell_angle_beta 90.00
_cell_angle_gamma 90.00
_symmetry_space_group_name_H-M 'P m m m'
_symmetry_Int_Tables_number 47
_symmetry_space_group_name_Hall '-P 2 2'
loop_
_atom_site_label
_atom_site_fract_x
_atom_site_fract_y
_atom_site_fract_z
_atom_site_occupancy
Cr1 0.000 0.000 0.000 1
Co1 0.000 0.000 0.500 1
Pt1 0.500 0.500 0.251 1
```

Values from the calculation:
Energy of formation ... -1.15 eV/f.u.
Total magnetic moment ... 4.6 μB per cell

***

Entry 10:
A plane-wave DFT calculation with SCAN was carried out for a PBEsol-optimized structure of CrCo2Re.

The structure in CIF format:
```
data_CrCo2Re
_cell_length_a 2.527
_cell_length_b 3.617
_cell_length_c 4.985
_cell_angle_alpha 90.00
_cell_angle_beta 90.00
_cell_angle_gamma 90.00
_symmetry_space_group_name_H-M 'P m m m'
_symmetry_Int_Tables_number 47
_symmetry_space_group_name_Hall '-P 2 2'
loop_
_atom_site_label
_atom_site_fract_x
_atom_site_fract_y
_atom_site_fract_z
_atom_site_occupancy
Cr1 0.000 0.000 0.000 1
Co1 0.500 0.500 0.243 1
Re1 0.000 0.000 0.500 1
```

Values from the calculation:
Energy of formation ... 0.61 eV/f.u.
Total magnetic moment ... 0.6 μB per cell

***

Entry 11:
A plane-wave DFT calculation with SCAN was carried out for a PBEsol-optimized structure of Cr3CoRe.

The structure in CIF format:
```
data_Cr3CoRe
_cell_length_a 4.072
_cell_length_b 4.072
_cell_length_c 4.072
_cell_angle_alpha 90.00
_cell_angle_beta 90.00
_cell_angle_gamma 90.00
_symmetry_space_group_name_H-M 'P m -3 m'
_symmetry_Int_Tables_number 221
_symmetry_space_group_name_Hall '-P 4 2 3'
loop_
_atom_site_label
_atom_site_fract_x
_atom_site_fract_y
_atom_site_fract_z
_atom_site_occupancy
Cr1 0.000 0.000 0.500 1
Co1 0.000 0.000 0.000 1
Re1 0.500 0.500 0.500 1
```

Values from the calculation:
Energy of formation ... 7.18 eV/f.u.
Total magnetic moment ... 0.0 μB per cell

***

Entry 12:
A plane-wave DFT calculation with SCAN was carried out for a PBEsol-optimized structure of CrCo2Re.

The structure in CIF format:
```
data_CrCo2Re
_cell_length_a 3.537
_cell_length_b 3.537
_cell_length_c 7.239
_cell_angle_alpha 90.00
_cell_angle_beta 90.00
_cell_angle_gamma 90.00
_symmetry_space_group_name_H-M 'I 4/m m m'
_symmetry_Int_Tables_number 139
_symmetry_space_group_name_Hall '-I 4 2'
loop_
_atom_site_label
_atom_site_fract_x
_atom_site_fract_y
_atom_site_fract_z
_atom_site_occupancy
Cr1 0.000 0.000 0.000 1
Co1 0.000 0.500 0.250 1
Re1 0.000 0.000 0.500 1
```

Values from the calculation:
Energy of formation ... 0.43 eV/f.u.
Total magnetic moment ... 1.2 μB per cell

***

Please write out number 9 again, unchanged.
A plane-wave DFT calculation with SCAN was carried out for a PBEsol-optimized structure of CrCoPt2.

The structure in CIF format:
```
data_CrCoPt2
_cell_length_a 2.654
_cell_length_b 3.686
_cell_length_c 5.321
_cell_angle_alpha 90.00
_cell_angle_beta 90.00
_cell_angle_gamma 90.00
_symmetry_space_group_name_H-M 'P m m m'
_symmetry_Int_Tables_number 47
_symmetry_space_group_name_Hall '-P 2 2'
loop_
_atom_site_label
_atom_site_fract_x
_atom_site_fract_y
_atom_site_fract_z
_atom_site_occupancy
Cr1 0.000 0.000 0.000 1
Co1 0.000 0.000 0.500 1
Pt1 0.500 0.500 0.251 1
```

Values from the calculation:
Energy of formation ... -1.15 eV/f.u.
Total magnetic moment ... 4.6 μB per cell

***

Q: The lowest energy of formation belongs to which entry?
A: number 8